[1]
Material: TaAu2Se
Method: DFT, PBE-GGA
State: relaxed

Values from the calculation:
E_form (uncorrected)	0.170	eV per atom

Cell lengths 7.699, 7.699, 5.293 Å; angles 90.00, 90.00, 90.00 degrees
Space group I-42d (No. 122)
Inequivalent atoms, fractional coordinates:
Ta (0.000, 0.000, 0.000) (multiplicity 4)
Au (0.246, 0.250, 0.125) (multiplicity 8)
Se (0.000, 0.000, 0.500) (multiplicity 4)


[2]
Material: SiOs2Pt
Method: DFT, PBE-GGA
State: relaxed

Values from the calculation:
E_form (uncorrected)	-0.100	eV per atom

Cell lengths 9.021, 2.766, 10.139 Å; angles 90.00, 109.34, 90.00 degrees
Space group Cm (No. 8)
Inequivalent atoms, fractional coordinates:
Si (0.000, 0.000, 0.000) (multiplicity 2)
Si (0.082, 0.500, 0.665) (multiplicity 2)
Os (0.030, 0.500, 0.218) (multiplicity 2)
Os (0.064, 0.000, 0.446) (multiplicity 2)
Os (0.295, 0.000, 0.340) (multiplicity 2)
Os (0.340, 0.500, 0.575) (multiplicity 2)
Pt (0.243, 0.500, 0.065) (multiplicity 2)
Pt (0.306, 0.000, 0.819) (multiplicity 2)


[3]
Material: TbNd7Sm3
Method: DFT, PBE-GGA
State: relaxed

Values from the calculation:
calculated formation energy	190	kJ/mol of formula units
energy above the lowest structure with this stoichiometry	0	meV per atom

Cell lengths 19.358, 7.287, 12.633 Å; angles 90.00, 115.64, 90.00 degrees
Space group C2/c (No. 15)
Inequivalent atoms, fractional coordinates:
Tb (0.000, 0.000, 0.000) (multiplicity 4)
Nd (0.000, 0.232, 0.250) (multiplicity 4)
Nd (0.161, 0.497, 0.776) (multiplicity 8)
Nd (0.168, 0.248, 0.030) (multiplicity 8)
Nd (0.168, 0.250, 0.530) (multiplicity 8)
Sm (0.000, 0.500, 0.000) (multiplicity 4)
Sm (0.166, 0.001, 0.775) (multiplicity 8)


[4]
Material: GaCoPt
Method: DFT, PBE-GGA
State: relaxed

Values from the calculation:
calculated formation energy	-68	kJ/mol of formula units

Cell lengths 2.900, 2.900, 20.154 Å; angles 90.00, 90.00, 90.00 degrees
Space group I4/mmm (No. 139)
Inequivalent atoms, fractional coordinates:
Ga (0.000, 0.000, 0.144) (multiplicity 4)
Co (0.000, 0.000, 0.284) (multiplicity 4)
Pt (0.000, 0.000, 0.435) (multiplicity 4)


[5]
Material: MgPdS
Method: DFT, PBE-GGA
State: relaxed

Values from the calculation:
E_form (uncorrected)	-0.546	eV per atom

Cell lengths 4.1534, 4.1534, 6.9153 Å; angles 90.00, 90.00, 120.00 degrees
Space group P6_3/mmc (No. 194)
Inequivalent atoms, fractional coordinates:
Mg (0.0000, 0.0000, 0.0000) (multiplicity 2)
Pd (0.3333, 0.6667, 0.2500) (multiplicity 2)
S (0.3333, 0.6667, 0.7500) (multiplicity 2)


[6]
Material: Co2TcN2
Method: DFT, PBE-GGA
State: relaxed

Values from the calculation:
energy above the lowest structure with this stoichiometry	0	meV per atom
E_form (uncorrected)	0.735	eV per atom

Cell lengths 3.557, 3.557, 7.764 Å; angles 90.00, 90.00, 90.00 degrees
Space group I4/mmm (No. 139)
Inequivalent atoms, fractional coordinates:
Co (0.000, 0.000, 0.160) (multiplicity 4)
Tc (0.000, 0.000, 0.500) (multiplicity 2)
N (0.000, 0.500, 0.250) (multiplicity 4)


Short version: M_tot = 0.0; 0.0; 0.0; 1.4; 0.0; 2.1 μB per formula unit, in the order given.
Short version: N(E_F) = 0.980; 0.614; 1.578; 0.449; 0.170; 0.771 states/eV/atom, in the order given.